The following is a DFT calculation (PBE with a Hubbard U) of a relaxed LiNiO2F crystal.

Output
The calculation puts the uncorrected energy at -18.3 eV for the cell shown. The space-group type is P4/mmm.

Unit cell a=3.6712 b=3.6712 c=3.5602 alpha=90.00 beta=90.00 gamma=90.00
Each line ends with the local moment (μB).
Atoms (fractional coordinates):
Ni1 0.5000 0.5000 0.5000  1.78
Li1 0.0000 0.0000 0.0000  0.01
O1 0.0000 0.5000 0.0000  0.87
O2 0.5000 0.0000 0.0000  0.87
F1 0.0000 0.0000 0.5000  0.18